Below is a relaxed structure of YFeP2F, with properties calculated at the GGA+U level.

Computed properties:
Its density is 4.10 g/cm3. The total energy comes out at -5.3902 eV per atom. As for the crystal system: tetragonal. The value obtained for the density of states at the Fermi level is 2.3 states/eV/f.u.

Lattice parameters (Å, degrees): 4.8819 4.8819 3.8336 90.00 90.00 90.00
With the nearest neighbours (Å) after each atom.
Atoms (fractional coordinates):
Y 0.0000 0.0000 0.0000  8 P 3.10, 4 Fe 3.45
Fe 0.5000 0.5000 0.0000  2 F 1.92
P 0.0000 0.5000 0.5000  2 F 2.44
P 0.5000 0.0000 0.5000  2 F 2.44
F 0.5000 0.5000 0.5000  2 Fe 1.92